DFT (PBE) results for a relaxed SrYAl crystal.

abc: 5.3373 5.3373 5.3373
angles: 60.00 60.00 60.00
Closest atoms and distances in Å follow each position.
Element x y z (fractional)
1 Al 0.0000 0.0000 0.0000  4 Sr 3.27, 4 Y 3.27
2 Y 0.2500 0.2500 0.2500  4 Al 3.27
3 Sr 0.7500 0.7500 0.7500  4 Al 3.27

Computed properties:
Distance to the lowest polymorph of the same formula in eV/atom: 0.292
Energy relative to the elements in eV per formula unit: 0.2
N(E_F) in states/eV per cell: 4.312